No. 1
The following is a DFT calculation (PBE-GGA) of a relaxed structure of MgPt2Pb.

Uncorrected energy, eV per atom: -4.75

a = 3.6093 Å, b = 4.2078 Å, c = 5.5207 Å
α = 90.00°, β = 109.00°, γ = 90.00°
Space group Pm (No. 6)
Inequivalent atoms, fractional coordinates:
Mg: 0.0000 0.0000 0.0000 (multiplicity 1)
Pt: 0.2813 0.0000 0.5630 (multiplicity 1)
Pt: 0.4499 0.5000 0.8997 (multiplicity 1)
Pb: 0.7098 0.5000 0.4183 (multiplicity 1)

No. 2
The following is a DFT calculation (PBE-GGA) of a relaxed structure of Co2MoRh.

Uncorrected energy, eV per atom: -8.14

a = 3.7281 Å, b = 3.7281 Å, c = 3.6341 Å
α = 90.00°, β = 90.00°, γ = 90.00°
Space group P4/mmm (No. 123)
Inequivalent atoms, fractional coordinates:
Co: 0.0000 0.5000 0.0000 (multiplicity 2)
Mo: 0.0000 0.0000 0.5000 (multiplicity 1)
Rh: 0.5000 0.5000 0.5000 (multiplicity 1)

Number 1 is which compound?
MgPt2Pb